# 1
A plane-wave DFT calculation with PBE was carried out for Ho4ScAg2 after structural relaxation. Values from VASP.

Computed properties:
SG	R-3m (166)
energy of formation	0.634	eV per formula unit

Geometry as Quantum ESPRESSO input:
```
&SYSTEM
  ibrav = 0, nat = 7, ntyp = 3
/
ATOMIC_SPECIES
Ho 164.93 Ho.upf
Sc 44.96 Sc.upf
Ag 107.87 Ag.upf
CELL_PARAMETERS angstrom
2.6468 1.5281 8.2698
-2.6468 1.5281 8.2698
0.0000 -3.0563 8.2698
ATOMIC_POSITIONS angstrom
Ho 0.0000 0.0000 3.1878
Ho 0.0000 0.0000 6.7792
Ho 0.0000 0.0000 18.0304
Ho 0.0000 0.0000 21.6217
Sc 0.0000 0.0000 12.4048
Ag 0.0000 0.0000 9.7066
Ag 0.0000 0.0000 15.1030
```


# 2
A plane-wave DFT calculation with PBE was carried out for CePaTc after structural relaxation. Values from VASP.

Computed properties:
SG	P2_1/m (11)
energy of formation	-0.426	eV per formula unit
energy above the lowest structure with this stoichiometry	0.0191	eV/atom

Geometry as Quantum ESPRESSO input:
```
&SYSTEM
  ibrav = 0, nat = 6, ntyp = 3
/
ATOMIC_SPECIES
Ce 140.12 Ce.upf
Pa 231.04 Pa.upf
Tc 98.00 Tc.upf
CELL_PARAMETERS angstrom
4.9681 0.0000 0.0000
0.0000 4.9132 0.0000
-2.4895 0.0000 5.1568
ATOMIC_POSITIONS angstrom
Ce 0.0013 1.2283 0.8129
Ce 2.4773 3.6849 4.3439
Pa -0.0044 1.2283 4.1970
Pa 2.4830 3.6849 0.9598
Tc -0.0138 3.6849 2.6020
Tc 2.4923 1.2283 2.5548
```


# 3
A plane-wave DFT calculation with PBE was carried out for TaTiTl2O after structural relaxation. Values from VASP.

Computed properties:
raw formation energy	-0.02	eV/atom
SG	P4/mmm (123)
energy above the lowest structure with this stoichiometry	0.0000	eV/atom

Geometry as Quantum ESPRESSO input:
```
&SYSTEM
  ibrav = 0, nat = 5, ntyp = 4
/
ATOMIC_SPECIES
Ta 180.95 Ta.upf
Ti 47.87 Ti.upf
Tl 204.38 Tl.upf
O 16.00 O.upf
CELL_PARAMETERS angstrom
4.9908 0.0000 0.0000
0.0000 4.9908 0.0000
0.0000 0.0000 3.9774
ATOMIC_POSITIONS angstrom
Ta 0.0000 0.0000 0.0000
Ti 2.4954 2.4954 0.0000
Tl 0.0000 2.4954 1.9887
Tl 2.4954 0.0000 1.9887
O 0.0000 0.0000 1.9887
```


# 4
A plane-wave DFT calculation with PBE was carried out for CdSbIrF2 after structural relaxation. Values from VASP.

Computed properties:
raw formation energy	-0.51	eV/atom
SG	P4/mmm (123)

Geometry as Quantum ESPRESSO input:
```
&SYSTEM
  ibrav = 0, nat = 5, ntyp = 4
/
ATOMIC_SPECIES
Cd 112.41 Cd.upf
Sb 121.76 Sb.upf
Ir 192.22 Ir.upf
F 19.00 F.upf
CELL_PARAMETERS angstrom
4.2348 0.0000 0.0000
0.0000 4.2348 0.0000
0.0000 0.0000 5.3564
ATOMIC_POSITIONS angstrom
Cd 0.0000 0.0000 0.0000
Sb 2.1174 2.1174 0.0000
Ir 2.1174 2.1174 2.6782
F 0.0000 2.1174 2.6782
F 2.1174 0.0000 2.6782
```


# 5
A plane-wave DFT calculation with PBE was carried out for In12S5I3 after structural relaxation. Values from VASP.

Computed properties:
raw formation energy	-0.13	eV/atom
SG	Ia-3d (230)

Geometry as Quantum ESPRESSO input:
```
&SYSTEM
  ibrav = 0, nat = 80, ntyp = 3
/
ATOMIC_SPECIES
In 114.82 In.upf
S 32.06 S.upf
I 126.90 I.upf
CELL_PARAMETERS angstrom
-9.1673 9.1673 9.1673
9.1673 -9.1673 9.1673
9.1673 9.1673 -9.1673
ATOMIC_POSITIONS angstrom
In 2.7897 -0.4385 1.0912
In 10.9613 5.6749 -5.0221
In 11.9570 0.4385 1.0912
In 10.9613 -3.4925 5.0221
In 8.7289 -1.0912 2.7897
In 14.1895 -1.7940 3.4925
In 1.0912 2.7897 -0.4385
In 12.6598 4.1452 -1.7940
In 5.6749 5.0221 -1.7940
In 8.0762 2.7897 0.4385
In -0.4385 1.0912 2.7897
In 5.0221 -1.7940 5.6749
In 8.7289 8.0762 -2.7897
In 5.0221 1.7940 3.4925
In 5.6749 -5.0221 10.9613
In 8.0762 -2.7897 8.7289
In 3.4925 5.0221 1.7940
In 10.2585 6.3776 0.4385
In 5.0221 10.9613 -3.4925
In 8.7289 1.0912 6.3776
In 2.7897 8.7289 -1.0912
In 10.9613 3.4925 4.1452
In 1.7940 3.4925 5.0221
In 2.7897 0.4385 8.0762
In 6.3776 8.7289 1.0912
In 7.3734 5.6749 4.1452
In -1.7940 5.6749 5.0221
In 6.3776 0.4385 10.2585
In 0.4385 8.0762 2.7897
In 4.1452 -1.7940 12.6598
In -1.0912 2.7897 8.7289
In 5.6749 4.1452 7.3734
In 1.0912 11.9570 0.4385
In 3.4925 14.1895 -1.7940
In 4.1452 7.3734 5.6749
In 0.4385 1.0912 11.9570
In 4.1452 10.9613 3.4925
In 9.6058 8.0762 6.3776
In 1.0912 6.3776 8.7289
In 3.4925 4.1452 10.9613
In -3.4925 5.0221 10.9613
In 8.0762 6.3776 9.6058
In -5.0221 10.9613 5.6749
In 0.4385 10.2585 6.3776
In -1.7940 12.6598 4.1452
In -2.7897 8.7289 8.0762
In -1.7940 3.4925 14.1895
In 6.3776 9.6058 8.0762
S 0.0000 0.0000 0.0000
S 4.5837 4.5837 -4.5837
S 4.5837 -4.5837 4.5837
S 9.1673 0.0000 0.0000
S 13.7510 2.2918 0.0000
S 9.1673 -4.5837 6.8755
S 6.8755 9.1673 -4.5837
S 6.8755 0.0000 4.5837
S 4.5837 6.8755 0.0000
S 9.1673 4.5837 2.2918
S -4.5837 4.5837 4.5837
S 0.0000 9.1673 0.0000
S 0.0000 0.0000 9.1673
S 4.5837 4.5837 4.5837
S 0.0000 4.5837 6.8755
S 4.5837 2.2918 9.1673
S 2.2918 9.1673 4.5837
S 2.2918 0.0000 13.7510
S 0.0000 13.7510 2.2918
S -4.5837 6.8755 9.1673
I 4.5837 2.2918 0.0000
I 9.1673 4.5837 -2.2918
I 2.2918 0.0000 4.5837
I 11.4592 0.0000 4.5837
I 0.0000 4.5837 2.2918
I 4.5837 -2.2918 9.1673
I 4.5837 11.4592 0.0000
I 9.1673 4.5837 6.8755
I -2.2918 9.1673 4.5837
I 6.8755 9.1673 4.5837
I 0.0000 4.5837 11.4592
I 4.5837 6.8755 9.1673
```


# 6
A plane-wave DFT calculation with PBE was carried out for ThGaNiH after structural relaxation. Values from VASP.

Computed properties:
SG	P-6m2 (187)
calculated total energy	-21.8	eV for the cell shown

Geometry as Quantum ESPRESSO input:
```
&SYSTEM
  ibrav = 0, nat = 4, ntyp = 4
/
ATOMIC_SPECIES
Th 232.04 Th.upf
Ga 69.72 Ga.upf
Ni 58.69 Ni.upf
H 1.01 H.upf
CELL_PARAMETERS angstrom
4.4276 0.0000 0.0000
-2.2138 3.8344 0.0000
0.0000 0.0000 3.6115
ATOMIC_POSITIONS angstrom
Th 0.0000 0.0000 0.0000
Ga 2.2138 1.2781 1.8058
Ni 0.0000 2.5563 1.8058
H 0.0000 2.5563 0.0000
```


# 7
A plane-wave DFT calculation with PBE was carried out for ReAuO2 after structural relaxation. Values from VASP.

Computed properties:
raw formation energy	-0.70	eV/atom
SG	R-3m (166)
energy above the lowest structure with this stoichiometry	0.0000	eV/atom

Geometry as Quantum ESPRESSO input:
```
&SYSTEM
  ibrav = 0, nat = 4, ntyp = 3
/
ATOMIC_SPECIES
Re 186.21 Re.upf
Au 196.97 Au.upf
O 16.00 O.upf
CELL_PARAMETERS angstrom
1.3821 0.7980 8.2619
-1.3821 0.7980 8.2619
0.0000 -1.5959 8.2619
ATOMIC_POSITIONS angstrom
Re 0.0000 0.0000 0.0000
Au 0.0000 0.0000 12.3929
O 0.0000 0.0000 9.5794
O 0.0000 0.0000 15.2064
```


# 8
A plane-wave DFT calculation with PBE was carried out for SrLiI3 after structural relaxation. Values from VASP.

Computed properties:
raw formation energy	-1.15	eV/atom
SG	Pm-3m (221)

Geometry as Quantum ESPRESSO input:
```
&SYSTEM
  ibrav = 0, nat = 5, ntyp = 3
/
ATOMIC_SPECIES
Sr 87.62 Sr.upf
Li 6.94 Li.upf
I 126.90 I.upf
CELL_PARAMETERS angstrom
6.4141 0.0000 0.0000
0.0000 6.4141 0.0000
0.0000 0.0000 6.4141
ATOMIC_POSITIONS angstrom
Sr 0.0000 0.0000 0.0000
Li 3.2071 3.2071 3.2071
I 0.0000 0.0000 3.2071
I 0.0000 3.2071 0.0000
I 3.2071 0.0000 0.0000
```


# 9
A plane-wave DFT calculation with PBE was carried out for RbYMnI6 after structural relaxation. Values from VASP.

Computed properties:
raw formation energy	-1.10	eV/atom
SG	P-31c (163)

Geometry as Quantum ESPRESSO input:
```
&SYSTEM
  ibrav = 0, nat = 18, ntyp = 4
/
ATOMIC_SPECIES
Rb 85.47 Rb.upf
Y 88.91 Y.upf
Mn 54.94 Mn.upf
I 126.90 I.upf
CELL_PARAMETERS angstrom
7.7266 0.0000 0.0000
-3.8633 6.6914 0.0000
0.0000 0.0000 16.4962
ATOMIC_POSITIONS angstrom
Rb 0.0000 0.0000 0.0000
Rb 0.0000 0.0000 8.2481
Y 0.0000 4.4609 4.1240
Y 3.8633 2.2305 12.3721
Mn 0.0000 4.4609 12.3721
Mn 3.8633 2.2305 4.1240
I -1.3659 2.5223 10.6541
I -2.3618 4.2473 14.0902
I 1.3659 2.5223 14.0902
I -0.9959 6.6132 10.6541
I 2.8674 0.0782 2.4060
I 1.5014 2.4441 5.8421
I 2.3618 4.2473 10.6541
I 0.9959 6.6132 14.0902
I 4.8592 0.0782 5.8421
I 2.4974 4.1691 2.4060
I 6.2251 2.4441 2.4060
I 5.2292 4.1691 5.8421
```


Number 1: mass density 7.62 g cm⁻³. Number 2: mass density 12.38 g cm⁻³. Number 3: mass density 10.96 g cm⁻³. Number 4: mass density 8.03 g cm⁻³. Number 5: mass density 4.14 g cm⁻³. Number 6: mass density 9.79 g cm⁻³. Number 7: mass density 12.61 g cm⁻³. Number 8: mass density 2.99 g cm⁻³. Number 9: mass density 3.86 g cm⁻³.